# NdZn6Cu4 (GGA-PBE, relaxed)
# **Crystal system**: hexagonal
# **Energy of formation from the pure elements**: -0.1636 eV per atom
data_NdZn6Cu4
_cell_length_a 7.0249
_cell_length_b 7.0249
_cell_length_c 4.0697
_cell_angle_alpha 90.00
_cell_angle_beta 90.00
_cell_angle_gamma 120.00
_space_group_name_H-M_alt 'P -6 m 2'
_space_group_IT_number 187
_space_group_name_Hall 'P -6 2'
loop_
_atom_site_label
_atom_site_type_symbol
_atom_site_fract_x
_atom_site_fract_y
_atom_site_fract_z
Nd1 Nd 0.0000 0.0000 0.0000
Zn1 Zn 0.2048 0.4097 0.5000
Zn2 Zn 0.5362 0.0725 0.0000
Cu1 Cu 0.3333 0.6667 0.0000
Cu2 Cu 0.4148 0.2074 0.5000